(1)
A plane-wave DFT calculation with PBE-GGA was carried out for crystalline La3Ga8Ru3 at its relaxed geometry.

```
La3Ga8Ru3
1.0
-2.168 5.000 6.370
2.168 -5.000 6.370
2.168 5.000 -6.370
La Ga Ru
3 8 3
Cartesian
0.000 0.000 0.000
0.000 0.000 4.216
0.000 0.000 8.523
2.168 -1.395 2.174
2.168 -2.146 4.880
2.168 1.395 2.174
0.000 2.854 1.490
2.168 2.146 4.880
0.000 3.605 4.196
0.000 7.146 1.490
0.000 6.395 4.196
2.168 2.722 0.000
0.000 5.000 0.000
0.000 2.278 6.370
```

Summary:
DFT formation energy: -545.0 meV/atom
symmetry: Immm


(2)
A plane-wave DFT calculation with PBE-GGA was carried out for crystalline La4GaRu at its relaxed geometry.

```
La4GaRu
1.0
4.516 -7.020 0.000
4.516 7.020 0.000
-3.017 0.000 5.595
La Ga Ru
8 2 2
Cartesian
0.664 4.441 5.159
0.501 0.957 3.767
3.842 4.441 3.233
2.009 -0.957 0.970
4.005 0.957 4.625
2.172 -4.441 2.362
5.513 -0.957 1.828
5.350 -4.441 0.436
3.761 1.736 1.399
2.253 -1.736 4.196
2.253 6.955 4.196
3.761 -6.955 1.399
```

Summary:
DFT formation energy: -344.7 meV/atom
symmetry: C2/c


(3)
A plane-wave DFT calculation with PBE-GGA was carried out for crystalline LaGa5Ru2 at its relaxed geometry.

```
LaGa5Ru2
1.0
4.058 0.000 0.000
0.000 7.119 0.000
0.000 0.000 10.340
La Ga Ru
2 10 4
Cartesian
0.000 0.000 0.000
2.029 3.559 5.170
0.000 1.385 3.623
0.000 1.385 6.716
0.000 3.559 0.000
0.000 5.733 3.623
0.000 5.733 6.716
2.029 0.000 5.170
2.029 2.174 1.547
2.029 2.174 8.793
2.029 4.945 1.547
2.029 4.945 8.793
0.000 3.559 2.417
0.000 3.559 7.923
2.029 0.000 2.753
2.029 0.000 7.587
```

Summary:
DFT formation energy: -438.5 meV/atom
symmetry: Immm


(4)
A plane-wave DFT calculation with PBE-GGA was carried out for crystalline La2GaRu at its relaxed geometry.

```
La2GaRu
1.0
8.454 0.000 0.000
0.000 3.959 0.000
-2.461 0.000 6.999
La Ga Ru
4 2 2
Cartesian
0.000 0.000 0.000
0.011 0.000 3.734
4.227 1.980 0.000
4.239 1.980 3.734
2.579 0.000 1.856
6.806 1.980 1.856
0.910 1.980 1.885
5.137 0.000 1.885
```

Summary:
DFT formation energy: -410.0 meV/atom
symmetry: Cm


(5)
A plane-wave DFT calculation with PBE-GGA was carried out for crystalline LaGa3Ru at its relaxed geometry.

```
LaGa3Ru
1.0
4.766 0.000 0.000
0.000 4.766 0.000
0.000 0.000 4.766
La Ga Ru
1 3 1
Cartesian
0.000 0.000 0.000
0.000 2.383 2.383
2.383 0.000 2.383
2.383 2.383 0.000
2.383 2.383 2.383
```

Summary:
DFT formation energy: -481.3 meV/atom
ΔE to the lowest computed polymorph: 0.000 eV/atom
symmetry: Pm-3m


(6)
A plane-wave DFT calculation with PBE-GGA was carried out for crystalline La6GaRu at its relaxed geometry.

```
La6GaRu
1.0
7.015 0.000 0.000
3.507 6.085 0.000
3.503 2.027 6.750
La Ga Ru
6 1 1
Cartesian
2.707 3.038 1.668
7.490 7.284 5.082
6.532 5.258 1.668
7.493 2.854 5.082
6.535 0.828 1.668
11.318 5.074 5.082
5.261 3.043 0.000
1.751 1.013 3.375
```

Summary:
DFT formation energy: -113.4 meV/atom
symmetry: P-1


(7)
A plane-wave DFT calculation with PBE-GGA was carried out for crystalline LaGa2Ru at its relaxed geometry.

```
LaGa2Ru
1.0
15.460 0.000 0.000
0.000 6.881 0.000
0.000 0.000 6.012
La Ga Ru
8 16 8
Cartesian
1.552 1.720 1.274
2.281 5.160 2.504
5.449 1.720 5.510
6.178 5.160 4.280
9.282 1.720 1.732
10.011 5.160 0.503
13.178 1.720 3.509
13.908 5.160 4.739
0.710 0.411 4.330
0.710 3.029 4.330
3.057 3.817 5.371
3.057 6.504 5.371
4.673 0.377 2.365
4.673 3.064 2.365
7.020 3.852 1.323
7.020 6.469 1.323
8.439 0.411 4.689
8.439 3.029 4.689
10.787 3.817 3.648
10.787 6.504 3.648
12.402 0.377 0.641
12.402 3.064 0.641
14.750 3.852 1.683
14.750 6.469 1.683
0.876 5.160 5.964
3.011 1.720 3.813
4.719 5.160 0.806
6.854 1.720 2.958
8.606 5.160 3.055
10.741 1.720 5.206
12.448 5.160 2.200
14.584 1.720 0.049
```

Summary:
DFT formation energy: -579.4 meV/atom
symmetry: Pnma


(8)
A plane-wave DFT calculation with PBE-GGA was carried out for crystalline La3GaRu3 at its relaxed geometry.

```
La3GaRu3
1.0
2.096 -5.557 0.000
2.096 5.557 0.000
0.000 0.000 13.633
La Ga Ru
6 2 6
Cartesian
2.096 5.301 10.225
2.096 2.212 8.254
2.096 2.212 12.196
2.096 -2.212 1.437
2.096 -2.212 5.379
2.096 -5.301 3.408
0.000 0.000 0.000
0.000 0.000 6.817
2.096 2.559 3.408
2.096 0.976 1.185
2.096 0.976 5.631
2.096 -0.976 8.002
2.096 -0.976 12.448
2.096 -2.559 10.225
```

Summary:
DFT formation energy: -343.0 meV/atom
symmetry: Cmcm


(9)
A plane-wave DFT calculation with PBE-GGA was carried out for crystalline La4Ga2Ru at its relaxed geometry.

```
La4Ga2Ru
1.0
8.187 0.000 0.000
0.000 9.256 0.000
0.000 0.000 4.785
La Ga Ru
8 4 2
Cartesian
1.477 0.000 0.000
2.047 2.314 2.393
2.047 6.942 2.393
2.616 4.628 0.000
5.571 4.628 0.000
6.140 2.314 2.393
6.140 6.942 2.393
6.710 0.000 0.000
0.000 3.070 0.000
0.000 6.186 0.000
4.094 1.558 0.000
4.094 7.698 0.000
0.000 4.628 2.393
4.094 0.000 2.393
```

Summary:
DFT formation energy: -309.7 meV/atom
ΔE to the lowest computed polymorph: 0.097 eV/atom
symmetry: Cmmm


(10)
A plane-wave DFT calculation with PBE-GGA was carried out for crystalline LaGaRu at its relaxed geometry.

```
LaGaRu
1.0
3.324 0.000 0.000
0.000 3.324 0.000
0.000 0.000 11.115
La Ga Ru
2 2 2
Cartesian
0.000 0.000 0.000
1.662 1.662 5.557
0.000 0.000 3.151
1.662 1.662 8.709
0.000 0.000 7.598
1.662 1.662 2.041
```

Summary:
DFT formation energy: -347.6 meV/atom
symmetry: I4mm


(11)
A plane-wave DFT calculation with PBE-GGA was carried out for crystalline La2Ga2Ru at its relaxed geometry.

```
La2Ga2Ru
1.0
7.010 0.000 0.000
0.000 7.010 0.000
0.000 0.000 4.678
La Ga Ru
4 4 2
Cartesian
1.196 2.309 0.000
2.309 5.814 0.000
4.701 1.196 0.000
5.814 4.701 0.000
0.972 4.477 2.339
2.533 0.972 2.339
4.477 6.039 2.339
6.039 2.533 2.339
0.000 0.000 2.339
3.505 3.505 2.339
```

Summary:
DFT formation energy: -351.2 meV/atom
ΔE to the lowest computed polymorph: 0.193 eV/atom
symmetry: P4/mbm